Density functional theory data (GGA-PBE) for a relaxed structure of KHg2F5.

Lattice parameters (Å, degrees): 4.490 12.454 11.137 90.00 90.00 90.00
Space group Cmcm (No. 63)
Unique sites:
K1 0.000 0.092 0.250 (multiplicity 4)
Hg1 0.000 0.362 0.055 (multiplicity 8)
F1 0.000 0.175 0.006 (multiplicity 8)
F2 0.000 0.305 0.250 (multiplicity 4)
F3 0.000 0.460 0.621 (multiplicity 8)

Results
The value obtained for the calculated total energy is -101.3 eV for the cell shown. For the formation energy from raw total energies, the calculation gives -1376 kJ/mol of formula units.

Density functional theory data (GGA-PBE) for a relaxed structure of K2Hg2F7.

Lattice parameters (Å, degrees): 7.553 8.500 6.072 90.00 90.00 90.00
Space group Cmmm (No. 65)
Unique sites:
K1 0.241 0.000 0.000 (multiplicity 4)
Hg1 0.000 0.274 0.500 (multiplicity 4)
F1 0.000 0.000 0.500 (multiplicity 2)
F2 0.000 0.500 0.276 (multiplicity 4)
F3 0.250 0.250 0.272 (multiplicity 8)

Results
The value obtained for the calculated total energy is -71.5 eV for the cell shown. The calculation puts the density of states at the Fermi level at 0.6123 states/eV/atom. For the formation energy from raw total energies, the calculation gives -1914 kJ/mol of formula units.

Density functional theory data (GGA-PBE) for a relaxed structure of KHgF3.

Lattice parameters (Å, degrees): 3.571 3.579 6.896 90.00 90.53 90.00
Space group Pm (No. 6)
Unique sites:
K1 0.000 0.000 0.000 (multiplicity 1)
Hg1 0.501 0.500 0.502 (multiplicity 1)
F1 0.001 0.000 0.505 (multiplicity 1)
F2 0.499 0.500 0.194 (multiplicity 1)
F3 0.502 0.500 0.810 (multiplicity 1)

Results
The value obtained for the calculated total energy is -17.0 eV for the cell shown. The calculation puts the density of states at the Fermi level at 0.0000 states/eV/atom. For the formation energy from raw total energies, the calculation gives -961 kJ/mol of formula units.

Density functional theory data (GGA-PBE) for a relaxed structure of KHgF3.

Lattice parameters (Å, degrees): 11.648 11.648 11.648 90.00 90.00 90.00
Space group Fd-3m (No. 227, origin choice 2)
Unique sites:
K1 0.000 0.000 0.000 (multiplicity 16)
Hg1 0.000 0.000 0.500 (multiplicity 16)
F1 0.098 0.375 0.875 (multiplicity 48)

Results
The value obtained for the calculated total energy is -267.5 eV for the cell shown. The calculation puts the density of states at the Fermi level at 0.0000 states/eV/atom. For the formation energy from raw total energies, the calculation gives -937 kJ/mol of formula units.

Density functional theory data (GGA-PBE) for a relaxed structure of KHg4F10.

Lattice parameters (Å, degrees): 3.982 3.982 29.423 90.00 90.00 90.00
Space group I4/mmm (No. 139)
Unique sites:
K1 0.000 0.000 0.000 (multiplicity 2)
Hg1 0.000 0.000 0.202 (multiplicity 4)
Hg2 0.000 0.000 0.396 (multiplicity 4)
F1 0.000 0.500 0.062 (multiplicity 8)
F2 0.000 0.500 0.154 (multiplicity 8)
F3 0.000 0.500 0.250 (multiplicity 4)

Results
The value obtained for the calculated total energy is -87.5 eV for the cell shown. The calculation puts the density of states at the Fermi level at 0.9694 states/eV/atom. For the formation energy from raw total energies, the calculation gives -2191 kJ/mol of formula units.

Density functional theory data (GGA-PBE) for a relaxed structure of KHgF3.

Lattice parameters (Å, degrees): 4.604 15.510 5.117 90.00 90.00 90.00
Space group Cmcm (No. 63)
Unique sites:
K1 0.000 0.174 0.250 (multiplicity 4)
Hg1 0.000 0.449 0.250 (multiplicity 4)
F1 0.000 0.000 0.000 (multiplicity 4)
F2 0.244 0.173 0.750 (multiplicity 8)

Results
The value obtained for the calculated total energy is -59.2 eV for the cell shown. The calculation puts the density of states at the Fermi level at 0.1992 states/eV/atom. For the formation energy from raw total energies, the calculation gives -751 kJ/mol of formula units.

Density functional theory data (GGA-PBE) for a relaxed structure of KHg4F8.

Lattice parameters (Å, degrees): 7.3044 7.3044 18.5428 90.00 90.00 120.00
Space group R-3m (No. 166, hexagonal axes)
Unique sites:
K1 0.0000 0.0000 0.0000 (multiplicity 3)
Hg1 0.0000 0.0000 0.5000 (multiplicity 3)
Hg2 0.0000 0.5000 0.5000 (multiplicity 9)
F1 0.0000 0.0000 0.2245 (multiplicity 6)
F2 0.0086 0.5043 0.7692 (multiplicity 18)

Results
The value obtained for the calculated total energy is -111.5 eV for the cell shown. The calculation puts the density of states at the Fermi level at 0.0991 states/eV/atom. For the formation energy from raw total energies, the calculation gives -1920 kJ/mol of formula units.

Density functional theory data (GGA-PBE) for a relaxed structure of KHgF.

Lattice parameters (Å, degrees): 11.599 5.299 5.299 90.00 90.00 90.00
Space group Aem2 (No. 39)
Unique sites:
K1 0.119 0.250 0.000 (multiplicity 4)
Hg1 0.400 0.250 0.508 (multiplicity 4)
F1 0.113 0.250 0.500 (multiplicity 4)

Results
The value obtained for the calculated total energy is -34.2 eV for the cell shown. The calculation puts the density of states at the Fermi level at 0.0000 states/eV/atom. For the formation energy from raw total energies, the calculation gives -509 kJ/mol of formula units.

Density functional theory data (GGA-PBE) for a relaxed structure of K2HgF4.

Lattice parameters (Å, degrees): 11.391 12.886 7.621 90.00 90.00 90.00
Space group Fdd2 (No. 43)
Unique sites:
K1 0.054 0.245 0.000 (multiplicity 16)
Hg1 0.000 0.000 0.259 (multiplicity 8)
F1 0.107 0.416 0.543 (multiplicity 16)
F2 0.119 0.181 0.695 (multiplicity 16)

Results
The value obtained for the calculated total energy is -202.5 eV for the cell shown. The calculation puts the density of states at the Fermi level at 0.0000 states/eV/atom. For the formation energy from raw total energies, the calculation gives -1480 kJ/mol of formula units.

Density functional theory data (GGA-PBE) for a relaxed structure of KHgF4.

Lattice parameters (Å, degrees): 7.855 11.301 6.192 90.00 129.06 90.00
Space group C2/c (No. 15)
Unique sites:
K1 0.000 0.125 0.250 (multiplicity 4)
Hg1 0.000 0.376 0.750 (multiplicity 4)
F1 0.183 0.250 0.725 (multiplicity 8)
F2 0.208 0.498 0.272 (multiplicity 8)

Results
The value obtained for the calculated total energy is -77.7 eV for the cell shown. The calculation puts the density of states at the Fermi level at 0.0780 states/eV/atom. For the formation energy from raw total energies, the calculation gives -1017 kJ/mol of formula units.

Density functional theory data (GGA-PBE) for a relaxed structure of K2Hg3F8.

Lattice parameters (Å, degrees): 12.658 7.285 6.141 90.00 111.31 90.00
Space group C2/m (No. 12)
Unique sites:
K1 0.217 0.000 0.153 (multiplicity 4)
Hg1 0.000 0.242 0.500 (multiplicity 4)
Hg2 0.000 0.500 0.000 (multiplicity 2)
F1 0.101 0.500 0.424 (multiplicity 4)
F2 0.103 0.000 0.437 (multiplicity 4)
F3 0.109 0.287 0.897 (multiplicity 8)

Results
The value obtained for the calculated total energy is -84.7 eV for the cell shown. The calculation puts the density of states at the Fermi level at 0.0000 states/eV/atom. For the formation energy from raw total energies, the calculation gives -2344 kJ/mol of formula units.

Density functional theory data (GGA-PBE) for a relaxed structure of K5Hg3F12.

Lattice parameters (Å, degrees): 10.7171 10.7171 3.7626 90.00 90.00 120.00
Space group P-62m (No. 189)
Unique sites:
K1 0.0000 0.2797 0.0000 (multiplicity 3)
K2 0.3333 0.6667 0.0000 (multiplicity 2)
Hg1 0.0000 0.6598 0.5000 (multiplicity 3)
F1 0.0000 0.5254 0.0000 (multiplicity 3)
F2 0.0000 0.7984 0.0000 (multiplicity 3)
F3 0.2105 0.4461 0.5000 (multiplicity 6)

Results
The value obtained for the calculated total energy is -70.8 eV for the cell shown. The calculation puts the density of states at the Fermi level at 0.6480 states/eV/atom. For the formation energy from raw total energies, the calculation gives -4044 kJ/mol of formula units.